1.
# V2HgO6 (GGA-PBEsol, optimized geometry)
# ΔE_f (raw): -16.78 eV per formula unit
# E_tot: -0.55621 Ry/atom
data_V2HgO6
_cell_length_a 4.882
_cell_length_b 14.425
_cell_length_c 5.939
_cell_angle_alpha 90.00
_cell_angle_beta 90.00
_cell_angle_gamma 90.00
_symmetry_space_group_name_H-M 'P b c a'
_symmetry_Int_Tables_number 61
_symmetry_space_group_name_Hall '-P 2ac 2ab'
loop_
_atom_site_label
_atom_site_fract_x
_atom_site_fract_y
_atom_site_fract_z
_atom_site_occupancy
V1 0.028 0.171 0.060 1
Hg1 0.000 0.000 0.500 1
O1 0.070 0.596 0.626 1
O2 0.168 0.610 0.177 1
O3 0.218 0.247 0.401 1

2.
# Hg2WO4 (GGA-PBEsol, optimized geometry)
# ΔE_f (raw): -9.29 eV per formula unit
# E_tot: -0.47487 Ry/atom
data_Hg2WO4
_cell_length_a 8.728
_cell_length_b 11.499
_cell_length_c 4.939
_cell_angle_alpha 90.00
_cell_angle_beta 114.25
_cell_angle_gamma 90.00
_symmetry_space_group_name_H-M 'C 1 2/c 1'
_symmetry_Int_Tables_number 15
_symmetry_space_group_name_Hall '-C 2yc'
loop_
_atom_site_label
_atom_site_fract_x
_atom_site_fract_y
_atom_site_fract_z
_atom_site_occupancy
Hg1 0.141 0.110 0.480 1
W1 0.000 0.402 0.750 1
O1 0.132 0.451 0.150 1
O2 0.145 0.305 0.702 1

3.
# Y2Hg2O5 (GGA-PBEsol, optimized geometry)
# ΔE_f (raw): -18.56 eV per formula unit
# E_tot: -0.48659 Ry/atom
data_Y2Hg2O5
_cell_length_a 3.524
_cell_length_b 7.715
_cell_length_c 11.228
_cell_angle_alpha 98.15
_cell_angle_beta 91.20
_cell_angle_gamma 94.48
_symmetry_space_group_name_H-M 'P -1'
_symmetry_Int_Tables_number 2
_symmetry_space_group_name_Hall '-P 1'
loop_
_atom_site_label
_atom_site_fract_x
_atom_site_fract_y
_atom_site_fract_z
_atom_site_occupancy
Y1 0.214 0.173 0.315 1
Y2 0.261 0.612 0.893 1
Hg1 0.253 0.625 0.394 1
Hg2 0.396 0.169 0.833 1
O1 0.173 0.884 0.293 1
O2 0.217 0.348 0.979 1
O3 0.257 0.453 0.236 1
O4 0.263 0.745 0.565 1
O5 0.297 0.848 0.813 1

4.
# Y2Hg2O5 (GGA-PBEsol, optimized geometry)
# ΔE_f (raw): -18.59 eV per formula unit
# E_tot: -0.48683 Ry/atom
data_Y2Hg2O5
_cell_length_a 5.877
_cell_length_b 12.999
_cell_length_c 3.534
_cell_angle_alpha 90.00
_cell_angle_beta 90.00
_cell_angle_gamma 90.00
_symmetry_space_group_name_H-M 'P n n m'
_symmetry_Int_Tables_number 58
_symmetry_space_group_name_Hall '-P 2 2n'
loop_
_atom_site_label
_atom_site_fract_x
_atom_site_fract_y
_atom_site_fract_z
_atom_site_occupancy
Y1 0.182 0.164 0.000 1
Hg1 0.244 0.433 0.000 1
O1 0.000 0.000 0.000 1
O2 0.052 0.789 0.500 1
O3 0.129 0.601 0.000 1

5.
# Y2HgO2 (GGA-PBEsol, optimized geometry)
# ΔE_f (raw): -12.91 eV per formula unit
# E_tot: -0.55301 Ry/atom
data_Y2HgO2
_cell_length_a 3.933
_cell_length_b 3.933
_cell_length_c 11.619
_cell_angle_alpha 90.00
_cell_angle_beta 90.00
_cell_angle_gamma 90.00
_symmetry_space_group_name_H-M 'I 4/m m m'
_symmetry_Int_Tables_number 139
_symmetry_space_group_name_Hall '-I 4 2'
loop_
_atom_site_label
_atom_site_fract_x
_atom_site_fract_y
_atom_site_fract_z
_atom_site_occupancy
Y1 0.000 0.000 0.159 1
Hg1 0.000 0.000 0.500 1
O1 0.000 0.500 0.250 1

6.
# ZnHgO3 (GGA-PBEsol, optimized geometry)
# ΔE_f (raw): 2.18 eV per formula unit
# E_tot: -0.23106 Ry/atom
data_ZnHgO3
_cell_length_a 4.077
_cell_length_b 4.077
_cell_length_c 4.077
_cell_angle_alpha 90.00
_cell_angle_beta 90.00
_cell_angle_gamma 90.00
_symmetry_space_group_name_H-M 'P m -3 m'
_symmetry_Int_Tables_number 221
_symmetry_space_group_name_Hall '-P 4 2 3'
loop_
_atom_site_label
_atom_site_fract_x
_atom_site_fract_y
_atom_site_fract_z
_atom_site_occupancy
Zn1 0.000 0.000 0.000 1
Hg1 0.500 0.500 0.500 1
O1 0.000 0.500 0.500 1

7.
# ZnHgO2 (GGA-PBEsol, optimized geometry)
# ΔE_f (raw): -3.18 eV per formula unit
# E_tot: -0.29085 Ry/atom
data_ZnHgO2
_cell_length_a 4.981
_cell_length_b 4.981
_cell_length_c 9.273
_cell_angle_alpha 90.00
_cell_angle_beta 90.00
_cell_angle_gamma 90.00
_symmetry_space_group_name_H-M 'I -4 2 d'
_symmetry_Int_Tables_number 122
_symmetry_space_group_name_Hall 'I -4 2bw'
loop_
_atom_site_label
_atom_site_fract_x
_atom_site_fract_y
_atom_site_fract_z
_atom_site_occupancy
Zn1 0.000 0.000 0.000 1
Hg1 0.000 0.000 0.500 1
O1 0.197 0.250 0.125 1

8.
# Zr3HgO (GGA-PBEsol, optimized geometry)
# ΔE_f (raw): -6.14 eV per formula unit
# E_tot: -0.57658 Ry/atom
data_Zr3HgO
_cell_length_a 4.428
_cell_length_b 4.428
_cell_length_c 4.428
_cell_angle_alpha 90.00
_cell_angle_beta 90.00
_cell_angle_gamma 90.00
_symmetry_space_group_name_H-M 'P m -3 m'
_symmetry_Int_Tables_number 221
_symmetry_space_group_name_Hall '-P 4 2 3'
loop_
_atom_site_label
_atom_site_fract_x
_atom_site_fract_y
_atom_site_fract_z
_atom_site_occupancy
Zr1 0.000 0.000 0.500 1
Hg1 0.500 0.500 0.500 1
O1 0.000 0.000 0.000 1

9.
# Zr2Hg2O (GGA-PBEsol, optimized geometry)
# ΔE_f (raw): -5.58 eV per formula unit
# E_tot: -0.44306 Ry/atom
data_Zr2Hg2O
_cell_length_a 5.998
_cell_length_b 5.998
_cell_length_c 5.188
_cell_angle_alpha 90.00
_cell_angle_beta 90.00
_cell_angle_gamma 90.00
_symmetry_space_group_name_H-M 'P 4/m b m'
_symmetry_Int_Tables_number 127
_symmetry_space_group_name_Hall '-P 4 2ab'
loop_
_atom_site_label
_atom_site_fract_x
_atom_site_fract_y
_atom_site_fract_z
_atom_site_occupancy
Zr1 0.176 0.324 0.000 1
Hg1 0.163 0.663 0.500 1
O1 0.000 0.000 0.000 1

10.
# ZrHg3O (GGA-PBEsol, optimized geometry)
# ΔE_f (raw): 5.38 eV per formula unit
# E_tot: -0.15663 Ry/atom
data_ZrHg3O
_cell_length_a 5.515
_cell_length_b 5.515
_cell_length_c 5.515
_cell_angle_alpha 90.00
_cell_angle_beta 90.00
_cell_angle_gamma 90.00
_symmetry_space_group_name_H-M 'P m -3 m'
_symmetry_Int_Tables_number 221
_symmetry_space_group_name_Hall '-P 4 2 3'
loop_
_atom_site_label
_atom_site_fract_x
_atom_site_fract_y
_atom_site_fract_z
_atom_site_occupancy
Zr1 0.000 0.000 0.000 1
Hg1 0.000 0.000 0.500 1
O1 0.500 0.500 0.500 1

11.
# ZrHg3O (GGA-PBEsol, optimized geometry)
# ΔE_f (raw): 1.98 eV per formula unit
# E_tot: -0.20670 Ry/atom
data_ZrHg3O
_cell_length_a 4.645
_cell_length_b 4.645
_cell_length_c 4.645
_cell_angle_alpha 90.00
_cell_angle_beta 90.00
_cell_angle_gamma 90.00
_symmetry_space_group_name_H-M 'P m -3 m'
_symmetry_Int_Tables_number 221
_symmetry_space_group_name_Hall '-P 4 2 3'
loop_
_atom_site_label
_atom_site_fract_x
_atom_site_fract_y
_atom_site_fract_z
_atom_site_occupancy
Zr1 0.000 0.000 0.000 1
Hg1 0.000 0.500 0.500 1
O1 0.500 0.500 0.500 1

12.
# Hg3Os (GGA-PBEsol, optimized geometry)
# Formation enthalpy at 0 K: 59.5 kJ/mol of atoms
# E_tot: -0.21036 Ry/atom
data_Hg3Os
_cell_length_a 2.830
_cell_length_b 4.992
_cell_length_c 11.218
_cell_angle_alpha 90.00
_cell_angle_beta 90.00
_cell_angle_gamma 90.00
_symmetry_space_group_name_H-M 'C m m m'
_symmetry_Int_Tables_number 65
_symmetry_space_group_name_Hall '-C 2 2'
loop_
_atom_site_label
_atom_site_fract_x
_atom_site_fract_y
_atom_site_fract_z
_atom_site_occupancy
Hg1 0.000 0.000 0.000 1
Hg2 0.000 0.500 0.279 1
Os1 0.000 0.000 0.500 1

13.
# Hg3Os (GGA-PBEsol, optimized geometry)
# Formation enthalpy at 0 K: 74.6 kJ/mol of atoms
# E_tot: -0.19886 Ry/atom
data_Hg3Os
_cell_length_a 4.064
_cell_length_b 4.064
_cell_length_c 9.000
_cell_angle_alpha 90.00
_cell_angle_beta 90.00
_cell_angle_gamma 90.00
_symmetry_space_group_name_H-M 'I 4/m m m'
_symmetry_Int_Tables_number 139
_symmetry_space_group_name_Hall '-I 4 2'
loop_
_atom_site_label
_atom_site_fract_x
_atom_site_fract_y
_atom_site_fract_z
_atom_site_occupancy
Hg1 0.000 0.000 0.000 1
Hg2 0.000 0.500 0.250 1
Os1 0.000 0.000 0.500 1

14.
# Hg2Os (GGA-PBEsol, optimized geometry)
# Formation enthalpy at 0 K: 74.1 kJ/mol of atoms
# E_tot: -0.27063 Ry/atom
data_Hg2Os
_cell_length_a 2.9210
_cell_length_b 2.9210
_cell_length_c 7.2808
_cell_angle_alpha 90.00
_cell_angle_beta 90.00
_cell_angle_gamma 120.00
_symmetry_space_group_name_H-M 'P -3 m 1'
_symmetry_Int_Tables_number 164
_symmetry_space_group_name_Hall '-P 3 2"'
loop_
_atom_site_label
_atom_site_fract_x
_atom_site_fract_y
_atom_site_fract_z
_atom_site_occupancy
Hg1 0.3333 0.6667 0.1821 1
Os1 0.0000 0.0000 0.5000 1

15.
# Hg4Os (GGA-PBEsol, optimized geometry)
# Formation enthalpy at 0 K: 62.6 kJ/mol of atoms
# E_tot: -0.16523 Ry/atom
data_Hg4Os
_cell_length_a 6.780
_cell_length_b 6.780
_cell_length_c 4.159
_cell_angle_alpha 90.00
_cell_angle_beta 90.00
_cell_angle_gamma 90.00
_symmetry_space_group_name_H-M 'I 4/m'
_symmetry_Int_Tables_number 87
_symmetry_space_group_name_Hall '-I 4'
loop_
_atom_site_label
_atom_site_fract_x
_atom_site_fract_y
_atom_site_fract_z
_atom_site_occupancy
Hg1 0.107 0.292 0.000 1
Os1 0.000 0.000 0.500 1

16.
# HgOs (GGA-PBEsol, optimized geometry)
# Formation enthalpy at 0 K: 254.9 kJ/mol of atoms
# E_tot: -0.27558 Ry/atom
data_HgOs
_cell_length_a 4.2188
_cell_length_b 4.2188
_cell_length_c 6.9073
_cell_angle_alpha 90.00
_cell_angle_beta 90.00
_cell_angle_gamma 120.00
_symmetry_space_group_name_H-M 'P 63 m c'
_symmetry_Int_Tables_number 186
_symmetry_space_group_name_Hall 'P 6c -2c'
loop_
_atom_site_label
_atom_site_fract_x
_atom_site_fract_y
_atom_site_fract_z
_atom_site_occupancy
Hg1 0.3333 0.6667 0.0000 1
Os1 0.3333 0.6667 0.6270 1

17.
# HgOs (GGA-PBEsol, optimized geometry)
# Formation enthalpy at 0 K: 87.2 kJ/mol of atoms
# E_tot: -0.40331 Ry/atom
data_HgOs
_cell_length_a 2.8620
_cell_length_b 2.8620
_cell_length_c 9.2996
_cell_angle_alpha 90.00
_cell_angle_beta 90.00
_cell_angle_gamma 120.00
_symmetry_space_group_name_H-M 'P 63/m m c'
_symmetry_Int_Tables_number 194
_symmetry_space_group_name_Hall '-P 6c 2c'
loop_
_atom_site_label
_atom_site_fract_x
_atom_site_fract_y
_atom_site_fract_z
_atom_site_occupancy
Hg1 0.0000 0.0000 0.0000 1
Os1 0.3333 0.6667 0.2500 1

18.
# Hg3Os (GGA-PBEsol, optimized geometry)
# Formation enthalpy at 0 K: 70.6 kJ/mol of atoms
# E_tot: -0.20194 Ry/atom
data_Hg3Os
_cell_length_a 9.3983
_cell_length_b 9.3983
_cell_length_c 2.9383
_cell_angle_alpha 90.00
_cell_angle_beta 90.00
_cell_angle_gamma 120.00
_symmetry_space_group_name_H-M 'R -3 m'
_symmetry_Int_Tables_number 166
_symmetry_space_group_name_Hall '-R 3 2"'
loop_
_atom_site_label
_atom_site_fract_x
_atom_site_fract_y
_atom_site_fract_z
_atom_site_occupancy
Hg1 0.0000 0.5000 0.0000 1
Os1 0.0000 0.0000 0.0000 1

19.
# Hg3POs (GGA-PBEsol, optimized geometry)
# Formation enthalpy at 0 K: 147.0 kJ/mol of atoms
# E_tot: -0.17770 Ry/atom
data_Hg3POs
_cell_length_a 4.879
_cell_length_b 4.879
_cell_length_c 4.879
_cell_angle_alpha 90.00
_cell_angle_beta 90.00
_cell_angle_gamma 90.00
_symmetry_space_group_name_H-M 'P m -3 m'
_symmetry_Int_Tables_number 221
_symmetry_space_group_name_Hall '-P 4 2 3'
loop_
_atom_site_label
_atom_site_fract_x
_atom_site_fract_y
_atom_site_fract_z
_atom_site_occupancy
Hg1 0.000 0.000 0.500 1
P1 0.000 0.000 0.000 1
Os1 0.500 0.500 0.500 1

20.
# HgOs3Pb (GGA-PBEsol, optimized geometry)
# Formation enthalpy at 0 K: 306.1 kJ/mol of atoms
# E_tot: -0.37263 Ry/atom
data_HgOs3Pb
_cell_length_a 4.905
_cell_length_b 4.905
_cell_length_c 4.905
_cell_angle_alpha 90.00
_cell_angle_beta 90.00
_cell_angle_gamma 90.00
_symmetry_space_group_name_H-M 'P m -3 m'
_symmetry_Int_Tables_number 221
_symmetry_space_group_name_Hall '-P 4 2 3'
loop_
_atom_site_label
_atom_site_fract_x
_atom_site_fract_y
_atom_site_fract_z
_atom_site_occupancy
Hg1 0.000 0.000 0.000 1
Os1 0.000 0.500 0.500 1
Pb1 0.500 0.500 0.500 1

21.
# Ti2HgOsPb (GGA-PBEsol, optimized geometry)
# Formation enthalpy at 0 K: 164.8 kJ/mol of atoms
# E_tot: -0.36582 Ry/atom
data_Ti2HgOsPb
_cell_length_a 4.984
_cell_length_b 4.984
_cell_length_c 4.892
_cell_angle_alpha 90.00
_cell_angle_beta 90.00
_cell_angle_gamma 90.00
_symmetry_space_group_name_H-M 'P 4/m m m'
_symmetry_Int_Tables_number 123
_symmetry_space_group_name_Hall '-P 4 2'
loop_
_atom_site_label
_atom_site_fract_x
_atom_site_fract_y
_atom_site_fract_z
_atom_site_occupancy
Ti1 0.000 0.500 0.000 1
Hg1 0.000 0.000 0.500 1
Os1 0.500 0.500 0.500 1
Pb1 0.500 0.500 0.000 1

22.
# HgOsPt2 (GGA-PBEsol, optimized geometry)
# Formation enthalpy at 0 K: 28.4 kJ/mol of atoms
# E_tot: -0.46913 Ry/atom
data_HgOsPt2
_cell_length_a 2.807
_cell_length_b 2.807
_cell_length_c 8.038
_cell_angle_alpha 90.00
_cell_angle_beta 90.00
_cell_angle_gamma 90.00
_symmetry_space_group_name_H-M 'P 4 m m'
_symmetry_Int_Tables_number 99
_symmetry_space_group_name_Hall 'P 4 -2'
loop_
_atom_site_label
_atom_site_fract_x
_atom_site_fract_y
_atom_site_fract_z
_atom_site_occupancy
Hg1 0.000 0.000 0.000 1
Os1 0.500 0.500 0.270 1
Pt1 0.000 0.000 0.486 1
Pt2 0.500 0.500 0.731 1

23.
# HgOsPt2 (GGA-PBEsol, optimized geometry)
# Formation enthalpy at 0 K: 27.4 kJ/mol of atoms
# E_tot: -0.46990 Ry/atom
data_HgOsPt2
_cell_length_a 2.787
_cell_length_b 3.923
_cell_length_c 5.786
_cell_angle_alpha 90.00
_cell_angle_beta 90.00
_cell_angle_gamma 90.00
_symmetry_space_group_name_H-M 'P m m m'
_symmetry_Int_Tables_number 47
_symmetry_space_group_name_Hall '-P 2 2'
loop_
_atom_site_label
_atom_site_fract_x
_atom_site_fract_y
_atom_site_fract_z
_atom_site_occupancy
Hg1 0.000 0.000 0.000 1
Os1 0.000 0.000 0.500 1
Pt1 0.500 0.500 0.272 1

24.
# Hg2OsPt (GGA-PBEsol, optimized geometry)
# Formation enthalpy at 0 K: 68.2 kJ/mol of atoms
# E_tot: -0.32127 Ry/atom
data_Hg2OsPt
_cell_length_a 6.474
_cell_length_b 6.474
_cell_length_c 6.474
_cell_angle_alpha 90.00
_cell_angle_beta 90.00
_cell_angle_gamma 90.00
_symmetry_space_group_name_H-M 'F m -3 m'
_symmetry_Int_Tables_number 225
_symmetry_space_group_name_Hall '-F 4 2 3'
loop_
_atom_site_label
_atom_site_fract_x
_atom_site_fract_y
_atom_site_fract_z
_atom_site_occupancy
Hg1 0.250 0.250 0.250 1
Os1 0.000 0.000 0.000 1
Pt1 0.000 0.000 0.500 1

Number 1: V 105 Å³/f.u.. Number 2: V 113 Å³/f.u.. Number 3: V 151 Å³/f.u.. Number 4: V 135 Å³/f.u.. Number 5: V 90 Å³/f.u.. Number 6: V 68 Å³/f.u.. Number 7: V 58 Å³/f.u.. Number 8: V 87 Å³/f.u.. Number 9: V 93 Å³/f.u.. Number 10: V 168 Å³/f.u.. Number 11: V 100 Å³/f.u.. Number 12: V 79 Å³/f.u.. Number 13: V 74 Å³/f.u.. Number 14: V 54 Å³/f.u.. Number 15: V 96 Å³/f.u.. Number 16: V 53 Å³/f.u.. Number 17: V 33 Å³/f.u.. Number 18: V 75 Å³/f.u.. Number 19: V 116 Å³/f.u.. Number 20: V 118 Å³/f.u.. Number 21: V 121 Å³/f.u.. Number 22: V 63 Å³/f.u.. Number 23: V 63 Å³/f.u.. Number 24: V 68 Å³/f.u..